K2NaTaAu (PBE-GGA, optimized geometry); N(E_F) = 0.9154 states/eV/atom; crystal system = tetragonal; space-group type = P4/mmm, No. 123; formation enthalpy at 0 K = 0.80 eV per atom
1.0
6.316 0.000 0.000
0.000 6.316 0.000
0.000 0.000 5.232
K Na Ta Au
2 1 1 1
Cartesian
0.000 3.158 0.000
3.158 0.000 0.000
0.000 0.000 2.616
3.158 3.158 2.616
3.158 3.158 0.000

***

Hf2TiV (PBE-GGA, optimized geometry); N(E_F) = 0.9868 states/eV/atom; crystal system = cubic; space-group type = Fm-3m, No. 225; distance to the lowest polymorph of the same formula = 0.000 eV/atom; formation enthalpy at 0 K = 0.09 eV per atom
1.0
0.000 3.380 3.380
3.380 0.000 3.380
3.380 3.380 0.000
Hf Ti V
2 1 1
Cartesian
1.690 1.690 1.690
5.070 5.070 5.070
0.000 0.000 0.000
3.380 3.380 3.380

***

CsNp2HgO8 (PBE-GGA, optimized geometry); raw formation energy = -2262 kJ/mol of formula units; N(E_F) = 0.6675 states/eV/atom; crystal system = trigonal; space-group type = P-3, No. 147
1.0
6.105 0.000 0.000
-3.053 5.287 0.000
0.000 0.000 7.376
Cs Np Hg O
1 2 1 8
Cartesian
0.000 0.000 0.000
0.000 3.525 3.280
3.053 1.762 4.096
0.000 0.000 3.688
-0.803 2.055 4.564
-0.872 4.955 4.564
0.000 3.525 1.422
1.378 1.723 2.812
1.675 3.564 4.564
3.053 1.762 5.953
3.924 0.332 2.812
3.856 3.232 2.812